Entry 1:
Below is an optimized crystal structure of Sr2HPb, with properties calculated at the PBE level.

The structure in POSCAR format:
```
Sr2HPb
1.0
0.000 3.943 3.943
3.943 0.000 3.943
3.943 3.943 0.000
Pb Sr H
1 2 1
Direct
0.500 0.500 0.500
0.750 0.750 0.750
0.250 0.250 0.250
0.000 0.000 0.000
```

Results
The total energy is -2.75 eV per atom. The total magnetic moment is 0.94 μB/cell. The calculation puts the energy above the most stable polymorph in this dataset at 0.334 eV per atom. Its space group is Fm-3m, No. 225.



Entry 2:
Below is an optimized crystal structure of SrSiMoPd2, with properties calculated at the PBE level.

The structure in POSCAR format:
```
SrSiMoPd2
1.0
-4.437 -2.096 0.636
2.106 -4.158 0.989
0.119 1.202 4.799
Pd Sr Si Mo
2 1 1 1
Direct
0.500 0.000 0.000
0.000 0.000 0.500
0.500 0.500 0.500
0.000 0.500 0.000
0.000 0.000 0.000
```

Results
Its formation energy (no corrections) is 1.070 eV/f.u. The total energy is -5.45 eV per atom. The total magnetic moment is 0.00 μB/cell. Its space group is P4/mmm, No. 123.



Entry 3:
Below is an optimized crystal structure of Pa4As5H2, with properties calculated at the PBE level.

The structure in POSCAR format:
```
Pa4As5H2
1.0
3.938 0.000 0.000
0.000 6.930 -0.530
-1.969 -2.811 8.917
H As Pa
2 5 4
Direct
0.558 0.558 0.117
0.442 0.442 0.883
0.838 0.620 0.677
0.162 0.380 0.323
0.500 0.000 0.000
0.838 0.057 0.677
0.162 0.943 0.323
0.699 0.699 0.398
0.000 0.297 0.000
0.301 0.301 0.602
0.000 0.703 0.000
```

Results
The total energy is -6.69 eV per atom. The total magnetic moment is 1.43 μB/cell. Its space group is C2/m, No. 12.



Entry 4:
Below is an optimized crystal structure of Er6Pt2Se3S, with properties calculated at the PBE level.

The structure in POSCAR format:
```
Er6Pt2Se3S
1.0
6.911 -0.007 0.005
-3.460 5.983 0.005
-1.147 -1.986 6.881
Er Se Pt S
6 3 2 1
Direct
0.078 0.418 0.231
0.582 0.922 0.769
0.922 0.582 0.769
0.418 0.078 0.231
0.262 0.262 0.767
0.738 0.738 0.233
0.500 0.500 0.500
0.162 0.838 0.500
0.838 0.162 0.500
0.667 0.333 0.000
0.333 0.667 0.000
0.000 0.000 0.000
```

Results
Its formation energy (no corrections) is -19.243 eV/f.u. The total energy is -6.11 eV per atom. The total magnetic moment is 0.00 μB/cell. Its space group is C2/m, No. 12.